This record from Alexandria via LeMat-Bulk describes MgMnRu2 after structural relaxation. The functional is GGA-PBE.

DOS at the Fermi energy (states/eV/f.u.): 4.1
Electronic total energy (eV per formula unit): -27.41
Space-group type: I-42d (122)
Total moment (μB per atom): 0.230
Formation enthalpy at 0 K (eV per formula unit): 1.91

a = 6.9474 Å, b = 6.9474 Å, c = 5.5573 Å
α = 51.31°, β = 51.31°, γ = 90.00°
Last column: nearest neighbours and their distance in Å.
Positions (direct):
Mg 0.2500 0.7500 0.5000  2 Mn 2.60, 4 Ru 2.83
Ru 0.8750 0.9335 0.7500  2 Mn 2.28
Mn 0.7500 0.2500 0.5000  4 Ru 2.28
Ru 0.0665 0.6250 0.2500  2 Mn 2.28
Ru 0.6835 0.1250 0.2500  2 Mn 2.28
Mg 0.5000 0.5000 0.0000  2 Mn 2.60, 4 Ru 2.83
Ru 0.3750 0.3165 0.7500  2 Mn 2.28
Mn 0.0000 0.0000 0.0000  4 Ru 2.28